Ca2Be2GaRh5: optimized geometry, GGA-PBE.

The energy comes out at -113.81 eV/cell. As for the formation energy: -5.667 eV per formula unit.

```
data_Ca2Be2GaRh5
_space_group_name_H-M_alt 'P 1'
_space_group_IT_number 1
_cell_length_a 3.123
_cell_length_b 9.742
_cell_length_c 9.742
_cell_angle_alpha 90.00
_cell_angle_beta 90.00
_cell_angle_gamma 90.00
loop_
_space_group_symop_operation_xyz
'x,y,z'
loop_
_atom_site_label
_atom_site_fract_x
_atom_site_fract_y
_atom_site_fract_z
_atom_site_occupancy
Ca1 0.000 0.677 0.177 1
Ca2 0.000 0.323 0.823 1
Ca3 0.000 0.177 0.323 1
Ca4 0.000 0.823 0.677 1
Be1 0.000 0.123 0.623 1
Be2 0.000 0.877 0.377 1
Be3 0.000 0.623 0.877 1
Be4 0.000 0.377 0.123 1
Ga1 0.000 0.000 0.000 1
Ga2 0.000 0.500 0.500 1
Rh1 0.500 0.211 0.066 1
Rh2 0.500 0.789 0.934 1
Rh3 0.500 0.066 0.789 1
Rh4 0.500 0.711 0.434 1
Rh5 0.500 0.934 0.211 1
Rh6 0.500 0.289 0.566 1
Rh7 0.500 0.566 0.711 1
Rh8 0.500 0.434 0.289 1
Rh9 0.500 0.500 0.000 1
Rh10 0.500 0.000 0.500 1
```

=====

CaBeGa2Rh2: optimized geometry, GGA-PBE.

The energy comes out at -29.98 eV/cell. As for the formation energy: -3.498 eV per formula unit.

```
data_CaBeGa2Rh2
_space_group_name_H-M_alt 'P 1'
_space_group_IT_number 1
_cell_length_a 4.258
_cell_length_b 4.258
_cell_length_c 5.607
_cell_angle_alpha 90.00
_cell_angle_beta 90.00
_cell_angle_gamma 90.00
loop_
_space_group_symop_operation_xyz
'x,y,z'
loop_
_atom_site_label
_atom_site_fract_x
_atom_site_fract_y
_atom_site_fract_z
_atom_site_occupancy
Ca1 0.000 0.000 0.500 1
Be1 0.000 0.000 0.000 1
Ga1 0.500 0.500 0.733 1
Ga2 0.500 0.500 0.267 1
Rh1 0.500 0.000 0.000 1
Rh2 0.000 0.500 0.000 1
```

=====

CaBeGa2Ru2: optimized geometry, GGA-PBE.

The energy comes out at -32.30 eV/cell. As for the formation energy: -1.962 eV per formula unit.

```
data_CaBeGa2Ru2
_space_group_name_H-M_alt 'P 1'
_space_group_IT_number 1
_cell_length_a 4.339
_cell_length_b 4.339
_cell_length_c 5.440
_cell_angle_alpha 90.00
_cell_angle_beta 90.00
_cell_angle_gamma 90.00
loop_
_space_group_symop_operation_xyz
'x,y,z'
loop_
_atom_site_label
_atom_site_fract_x
_atom_site_fract_y
_atom_site_fract_z
_atom_site_occupancy
Ca1 0.000 0.000 0.500 1
Be1 0.000 0.000 0.000 1
Ga1 0.500 0.500 0.748 1
Ga2 0.500 0.500 0.252 1
Ru1 0.500 0.000 0.000 1
Ru2 0.000 0.500 0.000 1
```

=====

Ca2BeGaSe: optimized geometry, GGA-PBE.

The value obtained for the formation energy from raw total energies is 68 meV/atom. The energy comes out at -13.90 eV/cell.

```
data_Ca2BeGaSe
_space_group_name_H-M_alt 'P 1'
_space_group_IT_number 1
_cell_length_a 5.446
_cell_length_b 5.187
_cell_length_c 5.446
_cell_angle_alpha 90.00
_cell_angle_beta 90.00
_cell_angle_gamma 90.00
loop_
_space_group_symop_operation_xyz
'x,y,z'
loop_
_atom_site_label
_atom_site_fract_x
_atom_site_fract_y
_atom_site_fract_z
_atom_site_occupancy
Be1 0.500 0.500 0.500 1
Ca1 0.000 0.000 0.500 1
Ca2 0.500 0.000 0.000 1
Ga1 0.000 0.500 0.000 1
Se1 0.000 0.000 0.000 1
```

=====

CaBeGaTe2: optimized geometry, GGA-PBE.

The value obtained for the formation energy from raw total energies is 44 meV/atom. The energy comes out at -14.82 eV/cell.

```
data_CaBeGaTe2
_space_group_name_H-M_alt 'P 1'
_space_group_IT_number 1
_cell_length_a 5.106
_cell_length_b 5.132
_cell_length_c 5.106
_cell_angle_alpha 90.00
_cell_angle_beta 90.00
_cell_angle_gamma 90.00
loop_
_space_group_symop_operation_xyz
'x,y,z'
loop_
_atom_site_label
_atom_site_fract_x
_atom_site_fract_y
_atom_site_fract_z
_atom_site_occupancy
Be1 0.000 0.000 0.000 1
Ca1 0.000 0.500 0.000 1
Te1 0.000 0.000 0.500 1
Te2 0.500 0.000 0.000 1
Ga1 0.500 0.500 0.500 1
```

=====

CaBeTl2Ga: optimized geometry, GGA-PBE.

The energy comes out at -8.01 eV/cell. As for the formation energy: 5.481 eV per formula unit.

```
data_CaBeTl2Ga
_space_group_name_H-M_alt 'P 1'
_space_group_IT_number 1
_cell_length_a 6.001
_cell_length_b 5.659
_cell_length_c 6.001
_cell_angle_alpha 90.00
_cell_angle_beta 90.00
_cell_angle_gamma 90.00
loop_
_space_group_symop_operation_xyz
'x,y,z'
loop_
_atom_site_label
_atom_site_fract_x
_atom_site_fract_y
_atom_site_fract_z
_atom_site_occupancy
Be1 0.500 0.500 0.500 1
Tl1 0.000 0.000 0.500 1
Tl2 0.500 0.000 0.000 1
Ca1 0.000 0.000 0.000 1
Ga1 0.000 0.500 0.000 1
```